TaCo3F | PBE+U | optimized geometry

Unit cell a=4.5671 b=4.5671 c=4.5671 alpha=90.00 beta=90.00 gamma=90.00
Each line ends with the local moment (μB).
Positions (direct):
1 Ta 0.0000 0.0000 0.0000  -0.48
2 Co 0.5000 0.0000 0.0000  1.11
3 Co 0.0000 0.0000 0.5000  1.33
4 Co 0.0000 0.5000 0.0000  1.23
5 F 0.5000 0.5000 0.5000  0.03

Crystal system: cubic
DOS(E_F) (states/eV/atom): 0.589
Energy above the lowest structure with this stoichiometry (eV per atom): 1.018
M_tot (μB per formula unit): 3.2